Material: EuTlSn2
Method: DFT, PBE
State: optimized geometry

The energy above the most stable polymorph in this dataset comes out at 118 meV/atom. Its formation energy is -0.2839 eV per atom. For the final energy, the calculation gives -5.45 eV/atom. The calculation puts the spin magnetization at 7.10 Bohr magnetons per cell.

The structure belongs to space group P4/mmm (No. 123); the cell edges are 4.0883, 4.0883 and 6.9929 Å and the angles 90.00°, 90.00° and 90.00°. The asymmetric unit holds Eu at (0.0000, 0.0000, 0.0000), Tl at (0.0000, 0.0000, 0.5000) and Sn at (0.5000, 0.5000, 0.2768).

---

Material: EuTlSn2
Method: DFT, PBE
State: optimized geometry

The energy above the most stable polymorph in this dataset comes out at 0 meV/atom. Its formation energy is -0.4023 eV per atom. For the final energy, the calculation gives -5.56 eV/atom. The calculation puts the spin magnetization at 6.92 Bohr magnetons per cell.

The structure belongs to space group P4/mmm (No. 123); the cell edges are 4.7946, 4.7946 and 4.8637 Å and the angles 90.00°, 90.00° and 90.00°. The asymmetric unit holds Eu at (0.0000, 0.0000, 0.0000), Tl at (0.5000, 0.5000, 0.0000) and Sn at (0.0000, 0.5000, 0.5000).